1.
First-principles (PBE) data for crystalline Th2TlHg3 at its relaxed geometry, as listed in Alexandria via LeMat-Bulk.

Geometry as extended XYZ:
```
12
Lattice="-4.7968 -0.1416 3.8900 3.6367 -4.9504 0.6558 5.3847 6.8813 3.8096" Properties=species:S:1:pos:R:3 pbc="T T T"
Th 4.2206 -0.3076 3.3691
Th -0.8722 -3.8282 3.4175
Th 0.0039 2.0968 4.9862
Th -0.2880 -1.2638 1.1283
Tl 1.0192 -1.1030 4.2975
Tl 3.2053 2.8922 4.0578
Hg 2.3403 -3.0428 2.4617
Hg 6.1381 2.4065 4.2623
Hg 1.8842 4.8321 5.8936
Hg -1.9136 -0.6172 4.0931
Hg 1.5871 1.4320 2.0092
Hg 2.6375 0.3572 6.3462
```

- volume (Å³ per atom) = 26.22
- formation enthalpy at 0 K (eV/atom) = -0.190

2.
First-principles (PBE) data for crystalline PbW at its relaxed geometry, as listed in Alexandria via LeMat-Bulk.

Geometry as extended XYZ:
```
12
Lattice="3.3928 0.0000 0.0000 0.0000 6.7522 0.0000 0.0000 0.0000 12.6335" Properties=species:S:1:pos:R:3 pbc="T T T"
Pb 0.0000 4.7632 9.6515
Pb 1.6964 1.9890 9.2988
Pb 1.6964 1.9890 3.3347
Pb 0.0000 4.7632 2.9820
Pb 0.0000 4.2050 6.3168
Pb 1.6964 2.5472 0.0000
W 0.0000 0.1450 7.5690
W 1.6964 6.6072 11.3813
W 1.6964 6.6072 1.2522
W 0.0000 0.1450 5.0645
W 0.0000 5.1002 0.0000
W 1.6964 1.6520 6.3168
```

- volume (Å³ per atom) = 24.12
- formation enthalpy at 0 K (eV/atom) = 0.819

3.
First-principles (PBE) data for crystalline Tb2PmCo9 at its relaxed geometry, as listed in Alexandria via LeMat-Bulk.

Geometry as extended XYZ:
```
12
Lattice="-0.0615 4.8290 -1.3456 -4.3209 2.1852 -1.2996 -2.7065 4.4795 6.8604" Properties=species:S:1:pos:R:3 pbc="T T T"
Tb -4.9058 7.9141 0.6082
Tb -2.1830 3.5796 3.6070
Pm 0.0000 0.0000 0.0000
Co -2.9272 4.6858 -1.7284
Co -4.1616 6.8078 5.9436
Co -3.5444 5.7468 2.1076
Co -2.4904 4.0221 0.5752
Co -2.5214 6.4551 -0.1027
Co -4.6674 5.1231 -0.0796
Co -4.5985 7.4715 3.6401
Co -2.4215 6.3706 4.2948
Co -4.5674 5.0386 4.3180
```

- volume (Å³ per atom) = 14.74
- formation enthalpy at 0 K (eV/atom) = -0.136

4.
First-principles (PBE) data for crystalline UTaSe2 at its relaxed geometry, as listed in Alexandria via LeMat-Bulk.

Geometry as extended XYZ:
```
4
Lattice="-0.8956 -0.7075 -3.1042 -2.7944 -1.6735 -0.5744 -6.0191 7.3674 -1.7046" Properties=species:S:1:pos:R:3 pbc="T T T"
U 0.0000 0.0000 0.0000
Se -4.5247 4.8209 -1.5553
Se -5.1843 0.1655 -3.8279
Ta -4.8545 2.4932 -2.6916
```

- volume (Å³ per atom) = 22.44
- formation energy without anion corrections (eV per atom) = -0.308

5.
First-principles (PBE) data for crystalline Tb4PSe2N at its relaxed geometry, as listed in Alexandria via LeMat-Bulk.

Geometry as extended XYZ:
```
8
Lattice="-1.8451 0.4787 3.3775 3.5417 -5.0752 2.6542 3.5006 5.9685 1.0663" Properties=species:S:1:pos:R:3 pbc="T T T"
Tb 0.5806 0.3675 2.4917
Tb 4.6166 1.0046 4.6062
Tb 3.5932 3.4710 1.4709
Tb 3.4491 -2.5777 2.2495
P 0.8483 -2.2982 3.0158
Se 0.8278 3.2236 2.2219
Se 3.5212 0.4467 1.8602
N 0.0000 0.0000 0.0000
```

- volume (Å³ per atom) = 21.66
- formation energy without anion corrections (eV per atom) = -1.695

6.
First-principles (PBE) data for crystalline Ba5Pr3H12 at its relaxed geometry, as listed in Alexandria via LeMat-Bulk.

Geometry as extended XYZ:
```
80
Lattice="-1.2584 -3.8890 -12.0561 -0.9867 -10.0039 7.8106 -9.1487 8.4244 2.7181" Properties=species:S:1:pos:R:3 pbc="T T T"
Pr -2.4574 -5.6151 -5.7733
Pr -2.9848 -9.8527 -4.3513
Pr -6.9299 -3.6960 3.0358
Pr -3.8687 0.9364 -1.0184
Pr -3.5116 -2.5472 -8.8932
Pr -3.3758 -5.6047 1.0401
Pr -8.0181 0.1362 -2.5675
Pr -7.8822 -2.9212 7.3659
Pr -7.5251 -6.4049 -0.5089
Pr -4.4640 -1.7724 -4.5631
Pr -8.4091 4.3842 2.8240
Pr -8.9364 0.1467 4.2460
H -1.8205 -3.8272 -7.4169
H -4.8181 -3.6135 1.5487
H -3.8823 -4.7507 -7.7483
H -2.4535 -3.2713 -4.6849
H -7.4802 -4.0790 0.6162
H -3.1854 -8.0717 -6.1096
H -5.0606 -5.3714 2.9856
H -2.5044 -8.1961 6.6612
H -7.6681 -5.9222 1.9508
H -2.9501 -7.2963 -3.9748
H -4.4588 -4.3226 -4.9810
H -2.6941 -11.7741 -2.7616
H -6.2383 -3.1366 5.3836
H -1.5306 -4.8455 -0.6021
H -4.0865 -6.6287 7.1653
H -6.0264 1.6333 -2.2580
H -2.4350 0.1267 0.9733
H -1.9366 -7.5261 0.3050
H -4.3620 -10.3139 -2.2140
H -1.3810 -4.1774 1.5762
H -8.2983 -4.1026 5.1898
H -5.2672 -5.3233 -0.6980
H -7.2891 -7.0977 -2.9106
H -9.7491 1.4100 -4.0024
H -6.1266 -0.1451 -0.8293
H -4.1047 1.6293 1.3833
H -1.6447 -6.8784 2.4750
H -7.0318 4.8454 0.6866
H -3.0956 -1.3659 -6.7172
H -10.0128 -1.2911 -3.1036
H -9.4572 2.0577 -1.8323
H -5.3674 -7.1018 0.7306
H -8.9589 -5.5952 -2.5006
H -7.3073 1.1602 -8.6926
H -5.1555 -2.3318 -6.9110
H -8.6997 6.3056 1.2342
H -9.8633 -0.6229 -0.9253
H -3.7258 0.4537 -3.4781
H -8.4438 1.8279 2.4475
H -6.9351 -1.1459 3.4537
H -8.8894 2.7277 -8.1885
H -6.3332 -0.0970 -4.5130
H -8.9404 -2.1971 3.1576
H -8.2085 2.6033 4.5823
H -3.9136 -1.3895 -2.1436
H -7.5115 -0.7177 6.2209
H -6.5758 -1.8550 -3.0760
H -9.5734 -1.6413 5.8895
Ba -2.8145 -2.1315 2.1015
Ba -0.4934 -5.0019 3.9053
Ba 0.0000 0.0000 0.0000
Ba -1.8622 -2.9063 -2.2286
Ba -5.2036 2.2677 -4.6690
Ba -1.1226 -6.9464 -2.1227
Ba -4.3281 -4.8299 5.3702
Ba -9.0723 3.2041 -5.6874
Ba -4.9913 -6.0100 -3.1411
Ba -7.4568 3.6094 -1.5061
Ba -3.9371 -9.0779 -0.0212
Ba -5.6969 -2.7342 -0.7637
Ba -0.6292 -1.9445 -6.0280
Ba -4.5743 4.2122 1.3591
Ba -6.4026 0.5415 1.6138
Ba -2.3216 -8.6726 4.1600
Ba -5.0677 -0.7898 5.2644
Ba -7.0657 -0.6386 -6.8976
Ba -9.5317 -2.5622 0.7013
Ba -8.5793 -3.3370 -3.6288
```

- volume (Å³ per atom) = 19.85
- raw total energy (eV per atom) = -3.48